[1]
12
Lattice="-3.3360 -1.1683 -8.2393 5.1601 -1.5810 -5.4031 -0.2939 -2.6499 0.4947" Properties=species:S:1:pos:R:3 comment="CoMoRh4, relaxed, DFT PBE" de_polymorph_mev_per_atom=0 delta_e_f_mev_per_atom=-27 pbc="T T T"
Co 2.0551 -3.0950 -7.9246
Rh -0.0375 -1.4353 -7.7096
Mo 3.8701 -1.1858 -4.0523
Rh 4.0154 -2.9695 -6.0903
Co -0.5249 -2.3041 -5.2231
Rh -0.7184 -0.5236 -3.2312
Rh 1.5677 -3.9639 -5.4380
Rh -2.4851 -2.4297 -7.0574
Rh 2.2487 -4.8756 -9.9165
Rh 1.4353 -2.1795 -3.3887
Mo 0.9962 -3.0451 -0.8561
Rh 0.0950 -3.2197 -9.7590

***

[2]
5
Lattice="4.0379 0.0000 0.0000 0.0000 4.0379 0.0000 0.0000 0.0000 3.8284" Properties=species:S:1:pos:R:3 comment="ScNbN2O, relaxed, DFT PBE" formation_energy_uncorrected_kj_per_mol_atoms=-5.7 pbc="T T T"
O 0.0000 0.0000 1.9142
N 0.0000 2.0189 0.0000
N 2.0189 0.0000 0.0000
Sc 0.0000 0.0000 0.0000
Nb 2.0189 2.0189 1.9142

***

[3]
4
Lattice="-1.4382 1.6714 4.7501 0.7035 -3.0736 4.1813 3.6417 1.2168 3.5613" Properties=species:S:1:pos:R:3 comment="GdYMnIn, relaxed, DFT PBE" delta_e_f_mev_per_atom=-85 pbc="T T T"
Y 0.0000 0.0000 0.0000
In 2.1802 -0.1391 9.3694
Gd 1.4535 -0.0927 6.2463
Mn 0.7267 -0.0464 3.1231

***

[4]
5
Lattice="-2.7783 -0.0129 2.1939 -1.7943 -2.0238 -2.2841 1.2625 -2.9045 1.5818" Properties=species:S:1:pos:R:3 comment="MoAsH3, relaxed, DFT PBE" de_polymorph_mev_per_atom=639 pbc="T T T"
H -0.8971 -1.0119 -1.1421
Mo -1.6550 -2.4706 0.7458
H -1.3892 -0.0064 1.0970
H 0.6313 -1.4523 0.7909
As 0.0000 0.0000 0.0000

***

It is found that the M_tot values, taken in the order of the records, are 2.11 0.00 10.56 0.00 μB/f.u..